1.
A plane-wave DFT calculation with PBE was carried out for a relaxed LaErTh crystal.

Structure (CIF):
```
data_LaErTh
_chemical_formula_sum 'La2 Er2 Th2'
_cell_length_a 3.619
_cell_length_b 3.619
_cell_length_c 15.255
_cell_angle_alpha 90.00
_cell_angle_beta 90.00
_cell_angle_gamma 90.00
_symmetry_space_group_name_H-M 'P 1'
_symmetry_Int_Tables_number 1
loop_
_symmetry_equiv_pos_as_xyz
'x,y,z'
loop_
_atom_site_label
_atom_site_fract_x
_atom_site_fract_y
_atom_site_fract_z
La1 0.000 0.000 0.000
La2 0.500 0.500 0.500
Er1 0.000 0.000 0.316
Er2 0.500 0.500 0.816
Th1 0.000 0.000 0.663
Th2 0.500 0.500 0.163
```

Properties
- total magnetization (Bohr magnetons per cell) = 0.0
- DFT total energy (eV per atom) = -5.61
- DOS(E_F) (states/eV per atom) = 1.58
- ρ (Mg/m³) = 8.94
- formation energy (eV per formula unit) = 0.095
- relative energy among the computed polymorphs (eV/f.u.) = 0.00

***

2.
A plane-wave DFT calculation with PBE was carried out for a relaxed PmNdHo2Tm crystal.

Structure (CIF):
```
data_PmNdHo2Tm
_chemical_formula_sum 'Pm2 Nd2 Ho4 Tm2'
_cell_length_a 8.934
_cell_length_b 8.934
_cell_length_c 6.396
_cell_angle_alpha 90.00
_cell_angle_beta 90.00
_cell_angle_gamma 138.00
_symmetry_space_group_name_H-M 'P 1'
_symmetry_Int_Tables_number 1
loop_
_symmetry_equiv_pos_as_xyz
'x,y,z'
loop_
_atom_site_label
_atom_site_fract_x
_atom_site_fract_y
_atom_site_fract_z
Pm1 0.157 0.843 0.750
Pm2 0.843 0.157 0.250
Nd1 0.342 0.658 0.750
Nd2 0.658 0.342 0.250
Ho1 0.250 0.250 0.000
Ho2 0.250 0.250 0.500
Ho3 0.750 0.750 0.000
Ho4 0.750 0.750 0.500
Tm1 0.253 0.747 0.250
Tm2 0.747 0.253 0.750
```

Properties
- total magnetization (Bohr magnetons per cell) = 0.0
- DFT total energy (eV per atom) = -4.27
- DOS(E_F) (states/eV per atom) = 1.67
- ρ (Mg/m³) = 7.66
- formation energy (eV per formula unit) = 1.780

***

3.
A plane-wave DFT calculation with PBE was carried out for a relaxed PrThHgIr crystal.

Structure (CIF):
```
data_PrThHgIr
_chemical_formula_sum 'Pr3 Th3 Hg3 Ir3'
_cell_length_a 4.182
_cell_length_b 4.182
_cell_length_c 23.311
_cell_angle_alpha 90.00
_cell_angle_beta 90.00
_cell_angle_gamma 120.00
_symmetry_space_group_name_H-M 'P 1'
_symmetry_Int_Tables_number 1
loop_
_symmetry_equiv_pos_as_xyz
'x,y,z'
loop_
_atom_site_label
_atom_site_fract_x
_atom_site_fract_y
_atom_site_fract_z
Pr1 0.000 0.000 0.000
Pr2 0.333 0.667 0.667
Pr3 0.667 0.333 0.333
Th1 0.000 0.000 0.200
Th2 0.333 0.667 0.866
Th3 0.667 0.333 0.533
Hg1 0.000 0.000 0.767
Hg2 0.333 0.667 0.434
Hg3 0.667 0.333 0.101
Ir1 0.000 0.000 0.595
Ir2 0.333 0.667 0.262
Ir3 0.667 0.333 0.929
```

Properties
- total magnetization (Bohr magnetons per cell) = 0.0
- DFT total energy (eV per atom) = -5.94
- DOS(E_F) (states/eV per atom) = 0.73
- ρ (Mg/m³) = 10.80
- formation energy (eV per formula unit) = -2.406
- relative energy among the computed polymorphs (eV/f.u.) = 0.00

***

4.
A plane-wave DFT calculation with PBE was carried out for a relaxed SrInTc2 crystal.

Structure (CIF):
```
data_SrInTc2
_chemical_formula_sum 'Sr3 In3 Tc6'
_cell_length_a 3.078
_cell_length_b 3.078
_cell_length_c 29.131
_cell_angle_alpha 90.00
_cell_angle_beta 90.00
_cell_angle_gamma 120.00
_symmetry_space_group_name_H-M 'P 1'
_symmetry_Int_Tables_number 1
loop_
_symmetry_equiv_pos_as_xyz
'x,y,z'
loop_
_atom_site_label
_atom_site_fract_x
_atom_site_fract_y
_atom_site_fract_z
Sr1 0.000 0.000 0.000
Sr2 0.333 0.667 0.667
Sr3 0.667 0.333 0.333
In1 0.000 0.000 0.500
In2 0.333 0.667 0.167
In3 0.667 0.333 0.833
Tc1 0.000 0.000 0.242
Tc2 0.000 0.000 0.758
Tc3 0.333 0.667 0.424
Tc4 0.333 0.667 0.909
Tc5 0.667 0.333 0.091
Tc6 0.667 0.333 0.576
```

Properties
- total magnetization (Bohr magnetons per cell) = 1.6
- DFT total energy (eV per atom) = -5.37
- DOS(E_F) (states/eV per atom) = 1.26
- ρ (Mg/m³) = 8.30
- formation energy (eV per formula unit) = 3.668

***

5.
A plane-wave DFT calculation with PBE was carried out for a relaxed ScFeCoSi3 crystal.

Structure (CIF):
```
data_ScFeCoSi3
_chemical_formula_sum 'Sc2 Fe2 Co2 Si6'
_cell_length_a 6.626
_cell_length_b 6.626
_cell_length_c 5.428
_cell_angle_alpha 90.00
_cell_angle_beta 90.00
_cell_angle_gamma 126.55
_symmetry_space_group_name_H-M 'P 1'
_symmetry_Int_Tables_number 1
loop_
_symmetry_equiv_pos_as_xyz
'x,y,z'
loop_
_atom_site_label
_atom_site_fract_x
_atom_site_fract_y
_atom_site_fract_z
Sc1 0.195 0.805 0.750
Sc2 0.805 0.195 0.250
Fe1 0.029 0.971 0.250
Fe2 0.971 0.029 0.750
Co1 0.387 0.613 0.250
Co2 0.613 0.387 0.750
Si1 0.210 0.790 0.250
Si2 0.296 0.296 0.000
Si3 0.296 0.296 0.500
Si4 0.704 0.704 0.000
Si5 0.704 0.704 0.500
Si6 0.790 0.210 0.750
```

Properties
- total magnetization (Bohr magnetons per cell) = 0.0
- DFT total energy (eV per atom) = -6.62
- DOS(E_F) (states/eV per atom) = 0.73
- formation energy without anion corrections (meV per atom) = -261
- ρ (Mg/m³) = 4.23

***

6.
A plane-wave DFT calculation with PBE was carried out for a relaxed POsNO2 crystal.

Structure (CIF):
```
data_POsNO2
_chemical_formula_sum 'P1 Os1 N1 O2'
_cell_length_a 3.672
_cell_length_b 3.672
_cell_length_c 3.683
_cell_angle_alpha 90.00
_cell_angle_beta 90.00
_cell_angle_gamma 90.00
_symmetry_space_group_name_H-M 'P 1'
_symmetry_Int_Tables_number 1
loop_
_symmetry_equiv_pos_as_xyz
'x,y,z'
loop_
_atom_site_label
_atom_site_fract_x
_atom_site_fract_y
_atom_site_fract_z
P1 0.000 0.000 0.000
Os1 0.500 0.500 0.000
N1 0.000 0.000 0.500
O1 0.000 0.500 0.500
O2 0.500 0.000 0.500
```

Properties
- total magnetization (Bohr magnetons per cell) = 0.0
- DFT total energy (eV per atom) = -5.58
- DOS(E_F) (states/eV per atom) = 0.55
- formation energy without anion corrections (meV per atom) = 1399
- ρ (Mg/m³) = 8.93

***

7.
A plane-wave DFT calculation with PBE was carried out for a relaxed ZrMnRh2 crystal.

Structure (CIF):
```
data_ZrMnRh2
_chemical_formula_sum 'Zr4 Mn4 Rh8'
_cell_length_a 6.327
_cell_length_b 6.327
_cell_length_c 6.327
_cell_angle_alpha 90.00
_cell_angle_beta 90.00
_cell_angle_gamma 90.00
_symmetry_space_group_name_H-M 'P 1'
_symmetry_Int_Tables_number 1
loop_
_symmetry_equiv_pos_as_xyz
'x,y,z'
loop_
_atom_site_label
_atom_site_fract_x
_atom_site_fract_y
_atom_site_fract_z
Zr1 0.000 0.000 0.000
Zr2 0.000 0.500 0.500
Zr3 0.500 0.000 0.500
Zr4 0.500 0.500 0.000
Mn1 0.250 0.250 0.750
Mn2 0.250 0.750 0.250
Mn3 0.750 0.250 0.250
Mn4 0.750 0.750 0.750
Rh1 0.000 0.000 0.500
Rh2 0.000 0.500 0.000
Rh3 0.250 0.250 0.250
Rh4 0.250 0.750 0.750
Rh5 0.500 0.000 0.000
Rh6 0.500 0.500 0.500
Rh7 0.750 0.250 0.750
Rh8 0.750 0.750 0.250
```

Properties
- total magnetization (Bohr magnetons per cell) = 14.1
- DFT total energy (eV per atom) = -8.34
- DOS(E_F) (states/eV per atom) = 1.46
- ρ (Mg/m³) = 9.23
- formation energy (eV per formula unit) = -0.932

***

8.
A plane-wave DFT calculation with PBE was carried out for a relaxed Li2La2NdSi2 crystal.

Structure (CIF):
```
data_Li2La2NdSi2
_chemical_formula_sum 'Li2 La2 Nd1 Si2'
_cell_length_a 9.497
_cell_length_b 9.497
_cell_length_c 9.497
_cell_angle_alpha 27.67
_cell_angle_beta 27.67
_cell_angle_gamma 27.67
_symmetry_space_group_name_H-M 'P 1'
_symmetry_Int_Tables_number 1
loop_
_symmetry_equiv_pos_as_xyz
'x,y,z'
loop_
_atom_site_label
_atom_site_fract_x
_atom_site_fract_y
_atom_site_fract_z
Li1 0.100 0.100 0.100
Li2 0.900 0.900 0.900
La1 0.368 0.368 0.368
La2 0.632 0.632 0.632
Nd1 0.500 0.500 0.500
Si1 0.235 0.235 0.235
Si2 0.765 0.765 0.765
```

Properties
- total magnetization (Bohr magnetons per cell) = 0.0
- DFT total energy (eV per atom) = -4.59
- DOS(E_F) (states/eV per atom) = 0.55
- formation energy without anion corrections (meV per atom) = -403
- ρ (Mg/m³) = 5.01

***

9.
A plane-wave DFT calculation with PBE was carried out for a relaxed CsCaMg14 crystal.

Structure (CIF):
```
data_CsCaMg14
_chemical_formula_sum 'Cs1 Ca1 Mg14'
_cell_length_a 10.971
_cell_length_b 6.712
_cell_length_c 6.712
_cell_angle_alpha 58.40
_cell_angle_beta 90.00
_cell_angle_gamma 90.00
_symmetry_space_group_name_H-M 'P 1'
_symmetry_Int_Tables_number 1
loop_
_symmetry_equiv_pos_as_xyz
'x,y,z'
loop_
_atom_site_label
_atom_site_fract_x
_atom_site_fract_y
_atom_site_fract_z
Cs1 0.000 0.000 0.000
Ca1 0.000 0.491 0.491
Mg1 0.000 0.501 0.994
Mg2 0.000 0.994 0.501
Mg3 0.249 0.667 0.667
Mg4 0.266 0.173 0.173
Mg5 0.272 0.165 0.659
Mg6 0.272 0.659 0.165
Mg7 0.500 0.004 0.004
Mg8 0.500 0.503 0.994
Mg9 0.500 0.504 0.504
Mg10 0.500 0.994 0.503
Mg11 0.728 0.165 0.659
Mg12 0.728 0.659 0.165
Mg13 0.734 0.173 0.173
Mg14 0.751 0.667 0.667
```

Properties
- total magnetization (Bohr magnetons per cell) = 0.0
- DFT total energy (eV per atom) = -1.42
- DOS(E_F) (states/eV per atom) = 0.52
- ρ (Mg/m³) = 2.02
- formation energy (eV per formula unit) = 2.479

***

10.
A plane-wave DFT calculation with PBE was carried out for a relaxed KRb2Pb3O8 crystal.

Structure (CIF):
```
data_KRb2Pb3O8
_chemical_formula_sum 'K1 Rb2 Pb3 O8'
_cell_length_a 7.853
_cell_length_b 7.853
_cell_length_c 7.853
_cell_angle_alpha 51.91
_cell_angle_beta 51.91
_cell_angle_gamma 51.91
_symmetry_space_group_name_H-M 'P 1'
_symmetry_Int_Tables_number 1
loop_
_symmetry_equiv_pos_as_xyz
'x,y,z'
loop_
_atom_site_label
_atom_site_fract_x
_atom_site_fract_y
_atom_site_fract_z
K1 0.000 0.000 0.000
Rb1 0.376 0.376 0.376
Rb2 0.746 0.746 0.746
Pb1 0.377 0.377 0.878
Pb2 0.377 0.878 0.377
Pb3 0.878 0.377 0.377
O1 0.117 0.117 0.565
O2 0.117 0.565 0.117
O3 0.149 0.149 0.149
O4 0.193 0.634 0.634
O5 0.565 0.117 0.117
O6 0.603 0.603 0.603
O7 0.634 0.193 0.634
O8 0.634 0.634 0.193
```

Properties
- total magnetization (Bohr magnetons per cell) = 1.0
- DFT total energy (eV per atom) = -4.85
- DOS(E_F) (states/eV per atom) = 0.40
- formation energy without anion corrections (meV per atom) = -1006
- ρ (Mg/m³) = 5.75

***

11.
A plane-wave DFT calculation with PBE was carried out for a relaxed Hf2CoSe crystal.

Structure (CIF):
```
data_Hf2CoSe
_chemical_formula_sum 'Hf6 Co3 Se3'
_cell_length_a 3.193
_cell_length_b 3.193
_cell_length_c 26.637
_cell_angle_alpha 90.00
_cell_angle_beta 90.00
_cell_angle_gamma 120.00
_symmetry_space_group_name_H-M 'P 1'
_symmetry_Int_Tables_number 1
loop_
_symmetry_equiv_pos_as_xyz
'x,y,z'
loop_
_atom_site_label
_atom_site_fract_x
_atom_site_fract_y
_atom_site_fract_z
Hf1 0.000 0.000 0.090
Hf2 0.000 0.000 0.910
Hf3 0.333 0.667 0.577
Hf4 0.333 0.667 0.757
Hf5 0.667 0.333 0.243
Hf6 0.667 0.333 0.423
Co1 0.000 0.000 0.000
Co2 0.333 0.667 0.667
Co3 0.667 0.333 0.333
Se1 0.000 0.000 0.500
Se2 0.333 0.667 0.167
Se3 0.667 0.333 0.833
```

Properties
- total magnetization (Bohr magnetons per cell) = 2.5
- DFT total energy (eV per atom) = -7.46
- DOS(E_F) (states/eV per atom) = 0.60
- formation energy without anion corrections (meV per atom) = 167
- ρ (Mg/m³) = 10.48

***

12.
A plane-wave DFT calculation with PBE was carried out for a relaxed KCd2Tc crystal.

Structure (CIF):
```
data_KCd2Tc
_chemical_formula_sum 'K2 Cd4 Tc2'
_cell_length_a 7.556
_cell_length_b 7.611
_cell_length_c 2.954
_cell_angle_alpha 90.00
_cell_angle_beta 90.00
_cell_angle_gamma 90.00
_symmetry_space_group_name_H-M 'P 1'
_symmetry_Int_Tables_number 1
loop_
_symmetry_equiv_pos_as_xyz
'x,y,z'
loop_
_atom_site_label
_atom_site_fract_x
_atom_site_fract_y
_atom_site_fract_z
K1 0.000 0.000 0.000
K2 0.500 0.500 0.000
Cd1 0.250 0.250 0.500
Cd2 0.250 0.750 0.500
Cd3 0.750 0.250 0.500
Cd4 0.750 0.750 0.500
Tc1 0.000 0.500 0.000
Tc2 0.500 0.000 0.000
```

Properties
- total magnetization (Bohr magnetons per cell) = 0.0
- DFT total energy (eV per atom) = -2.69
- DOS(E_F) (states/eV per atom) = 0.24
- ρ (Mg/m³) = 7.08
- formation energy (eV per formula unit) = 2.524
- relative energy among the computed polymorphs (eV/f.u.) = 0.54